[1]
Computed, not measured: Ce2ScGe3Ir4 after structural relaxation at the PBE level of DFT.

- Density: 11.49 g/cm³
- Electronic total energy: -7.5767 eV per atom
- Space group: P-4m2
- Spin magnetization: 0.130 μB per atom
- Volume: 18.97 A^3/atom

a = 4.1381 Å, b = 4.1381 Å, c = 11.0767 Å
α = 90.00°, β = 90.00°, γ = 90.00°
With the nearest neighbours (Å) after each atom.
Element x y z (fractional)
Ge: 0.0000 0.0000 0.5000  4 Ir 2.67, 4 Sc 2.93
Ce: 0.5000 0.0000 0.2384  8 Ir 3.17-3.35, 4 Ge 3.18
Ge: 0.5000 0.0000 0.8747  5 Ir 2.46-2.49
Ce: 0.0000 0.5000 0.7616  8 Ir 3.17-3.35, 4 Ge 3.18
Sc: 0.5000 0.5000 0.5000  4 Ir 2.67, 4 Ge 2.93
Ir: 0.5000 0.5000 0.0000  4 Ge 2.49
Ir: 0.5000 0.0000 0.6522  3 Ge 2.46-2.67, 2 Sc 2.67
Ge: 0.0000 0.5000 0.1253  5 Ir 2.46-2.49
Ir: 0.0000 0.5000 0.3478  3 Ge 2.46-2.67, 2 Sc 2.67
Ir: 0.0000 0.0000 0.0000  4 Ge 2.49

=====

[2]
Computed, not measured: AcMgAlAg3 after structural relaxation at the PBE level of DFT.

- Density: 6.97 g/cm³
- Electronic total energy: -3.0912 eV per atom
- Space group: Cmcm
- Spin magnetization: 0.000 μB per atom
- Volume: 23.89 A^3/atom

a = 6.2623 Å, b = 6.9841 Å, c = 7.4268 Å
α = 118.05°, β = 90.00°, γ = 90.00°
With the nearest neighbours (Å) after each atom.
Element x y z (fractional)
Ag: 0.0000 0.3013 0.0000  2 Mg 2.67, 2 Al 2.69, 1 Ag 2.78
Ag: 0.7500 0.8313 0.6627  1 Al 2.65, 1 Mg 2.70
Ag: 0.5000 0.6987 0.0000  2 Mg 2.67, 2 Al 2.69, 1 Ag 2.78
Al: 0.7500 0.6295 0.2591  5 Ag 2.65-2.69
Mg: 0.2500 0.9625 0.9250  5 Ag 2.67-2.70
Al: 0.2500 0.3705 0.7409  5 Ag 2.65-2.69
Ag: 0.5000 0.3013 0.0000  2 Mg 2.67, 2 Al 2.69, 1 Ag 2.78
Ac: 0.7500 0.2874 0.5748  1 Mg 3.28, 2 Al 3.32, 8 Ag 3.48-3.54
Ac: 0.2500 0.7126 0.4252  1 Mg 3.28, 2 Al 3.32, 8 Ag 3.48-3.54
Ag: 0.0000 0.6987 0.0000  2 Mg 2.67, 2 Al 2.69, 1 Ag 2.78
Mg: 0.7500 0.0375 0.0750  5 Ag 2.67-2.70
Ag: 0.2500 0.1687 0.3373  1 Al 2.65, 1 Mg 2.70

=====

[3]
Computed, not measured: SiCl after structural relaxation at the PBE level of DFT.

- Density: 1.80 g/cm³
- ΔE_f (raw): -53 meV per atom
- Space group: Pmma
- Spin magnetization: 0.000 μB per atom
- Distance to the lowest polymorph of the same formula: 621 meV/atom
- Volume: 29.29 A^3/atom

a = 3.9338 Å, b = 5.0258 Å, c = 5.9267 Å
α = 90.00°, β = 90.00°, γ = 90.00°
With the nearest neighbours (Å) after each atom.
Element x y z (fractional)
Si: 0.5000 0.0000 0.6490  2 Cl 2.40, 2 Si 2.52
Cl: 0.0000 0.0000 0.8805  2 Si 2.40
Cl: 0.0000 0.5000 0.4528  2 Si 2.40
Si: 0.5000 0.5000 0.6843  2 Cl 2.40, 2 Si 2.52

=====

[4]
Computed, not measured: Ac2La3Sn3 after structural relaxation at the PBE level of DFT.

- Density: 7.00 g/cm³
- Electronic total energy: -5.0072 eV per atom
- Space group: P6_3/mcm
- Spin magnetization: 0.007 μB per atom
- Volume: 36.39 A^3/atom

a = 7.2380 Å, b = 9.6371 Å, c = 9.6371 Å
α = 120.00°, β = 90.00°, γ = 90.00°
With the nearest neighbours (Å) after each atom.
Element x y z (fractional)
Ac: 0.5000 0.6667 0.3333  6 Sn 3.49, 2 Ac 3.62
Sn: 0.7500 0.0000 0.6127  3 La 3.27-3.56, 4 Ac 3.49
La: 0.7500 0.0000 0.2436  3 Sn 3.27-3.56
La: 0.7500 0.2436 0.0000  3 Sn 3.27-3.56
Sn: 0.7500 0.6127 0.0000  3 La 3.27-3.56, 4 Ac 3.49
La: 0.2500 0.7564 0.0000  3 Sn 3.27-3.56
La: 0.2500 0.2436 0.2436  3 Sn 3.27-3.56
Sn: 0.2500 0.0000 0.3873  3 La 3.27-3.56, 4 Ac 3.49
La: 0.2500 0.0000 0.7564  3 Sn 3.27-3.56
Ac: 0.5000 0.3333 0.6667  6 Sn 3.49, 2 Ac 3.62
Sn: 0.2500 0.3873 0.0000  3 La 3.27-3.56, 4 Ac 3.49
La: 0.7500 0.7564 0.7564  3 Sn 3.27-3.56
Ac: 0.0000 0.6667 0.3333  6 Sn 3.49, 2 Ac 3.62
Sn: 0.7500 0.3873 0.3873  3 La 3.27-3.56, 4 Ac 3.49
Sn: 0.2500 0.6127 0.6127  3 La 3.27-3.56, 4 Ac 3.49
Ac: 0.0000 0.3333 0.6667  6 Sn 3.49, 2 Ac 3.62

=====

What did the fourth record say?
Computed, not measured: Ac2La3Sn3 after structural relaxation at the PBE level of DFT.

- Density: 7.00 g/cm³
- Electronic total energy: -5.0072 eV per atom
- Space group: P6_3/mcm
- Spin magnetization: 0.007 μB per atom
- Volume: 36.39 A^3/atom

a = 7.2380 Å, b = 9.6371 Å, c = 9.6371 Å
α = 120.00°, β = 90.00°, γ = 90.00°
With the nearest neighbours (Å) after each atom.
Element x y z (fractional)
Ac: 0.5000 0.6667 0.3333  6 Sn 3.49, 2 Ac 3.62
Sn: 0.7500 0.0000 0.6127  3 La 3.27-3.56, 4 Ac 3.49
La: 0.7500 0.0000 0.2436  3 Sn 3.27-3.56
La: 0.7500 0.2436 0.0000  3 Sn 3.27-3.56
Sn: 0.7500 0.6127 0.0000  3 La 3.27-3.56, 4 Ac 3.49
La: 0.2500 0.7564 0.0000  3 Sn 3.27-3.56
La: 0.2500 0.2436 0.2436  3 Sn 3.27-3.56
Sn: 0.2500 0.0000 0.3873  3 La 3.27-3.56, 4 Ac 3.49
La: 0.2500 0.0000 0.7564  3 Sn 3.27-3.56
Ac: 0.5000 0.3333 0.6667  6 Sn 3.49, 2 Ac 3.62
Sn: 0.2500 0.3873 0.0000  3 La 3.27-3.56, 4 Ac 3.49
La: 0.7500 0.7564 0.7564  3 Sn 3.27-3.56
Ac: 0.0000 0.6667 0.3333  6 Sn 3.49, 2 Ac 3.62
Sn: 0.7500 0.3873 0.3873  3 La 3.27-3.56, 4 Ac 3.49
Sn: 0.2500 0.6127 0.6127  3 La 3.27-3.56, 4 Ac 3.49
Ac: 0.0000 0.3333 0.6667  6 Sn 3.49, 2 Ac 3.62